Record 1
The following is a GGA-PBEsol calculation of a geometry-optimized TlFeAu2 structure, from Alexandria via LeMat-Bulk.

Unit cell a=2.987 b=2.987 c=8.027 alpha=90.00 beta=90.00 gamma=90.00
Space group P4/mmm (No. 123)
Asymmetric unit:
Tl1 0.000 0.000 0.000
Fe1 0.000 0.000 0.500
Au1 0.500 0.500 0.295

Energy of formation from the pure elements: 0.206 eV per atom
E above lowest polymorph: 0.0 meV/atom
Total moment: 3.09 μB per formula unit

Record 2
The following is a GGA-PBEsol calculation of a geometry-optimized FeW2Au structure, from Alexandria via LeMat-Bulk.

Unit cell a=3.255 b=3.255 c=5.626 alpha=90.00 beta=90.00 gamma=90.00
Space group P4/mmm (No. 123)
Asymmetric unit:
Fe1 0.000 0.000 0.000
W1 0.500 0.500 0.216
Au1 0.000 0.000 0.500

Energy of formation from the pure elements: 0.408 eV per atom
E above lowest polymorph: 122.6 meV/atom
Total moment: 1.67 μB per formula unit

Record 3
The following is a GGA-PBEsol calculation of a geometry-optimized FeW2Au structure, from Alexandria via LeMat-Bulk.

Unit cell a=2.700 b=2.700 c=8.079 alpha=90.00 beta=90.00 gamma=90.00
Space group P4mm (No. 99)
Asymmetric unit:
Fe1 0.000 0.000 0.000
W1 0.000 0.000 0.490
W2 0.500 0.500 0.217
Au1 0.500 0.500 0.756

Energy of formation from the pure elements: 0.296 eV per atom
E above lowest polymorph: 11.1 meV/atom
Total moment: 1.54 μB per formula unit

Record 4
The following is a GGA-PBEsol calculation of a geometry-optimized FeW2Au structure, from Alexandria via LeMat-Bulk.

Unit cell a=3.203 b=3.203 c=5.743 alpha=90.00 beta=90.00 gamma=90.00
Space group P4mm (No. 99)
Asymmetric unit:
Fe1 0.000 0.000 0.000
W1 0.000 0.000 0.463
W2 0.500 0.500 0.210
Au1 0.500 0.500 0.743

Energy of formation from the pure elements: 0.285 eV per atom
E above lowest polymorph: 0.0 meV/atom
Total moment: 1.24 μB per formula unit

Record 5
The following is a GGA-PBEsol calculation of a geometry-optimized FeW2Au structure, from Alexandria via LeMat-Bulk.

Unit cell a=2.7598 b=2.7598 c=26.9418 alpha=90.00 beta=90.00 gamma=120.00
Space group R3m (No. 160, hexagonal axes)
Asymmetric unit:
Fe1 0.0000 0.0000 0.0000
W1 0.0000 0.0000 0.4947
W2 0.0000 0.0000 0.7385
Au1 0.0000 0.0000 0.2507

Energy of formation from the pure elements: 0.395 eV per atom
E above lowest polymorph: 110.2 meV/atom
Total moment: 0.01 μB per formula unit

Record 6
The following is a GGA-PBEsol calculation of a geometry-optimized FeW2Au structure, from Alexandria via LeMat-Bulk.

Unit cell a=6.212 b=6.212 c=6.212 alpha=90.00 beta=90.00 gamma=90.00
Space group F-43m (No. 216)
Asymmetric unit:
Fe1 0.000 0.000 0.000
W1 0.000 0.000 0.500
W2 0.250 0.250 0.250
Au1 0.250 0.250 0.750

Energy of formation from the pure elements: 0.501 eV per atom
E above lowest polymorph: 216.2 meV/atom
Total moment: 2.28 μB per formula unit

Record 7
The following is a GGA-PBEsol calculation of a geometry-optimized Fe2WAu structure, from Alexandria via LeMat-Bulk.

Unit cell a=8.607 b=2.701 c=4.794 alpha=90.00 beta=99.13 gamma=90.00
Space group C2/m (No. 12)
Asymmetric unit:
Fe1 0.250 0.000 0.233
W1 0.000 0.500 0.000
Au1 0.000 0.000 0.500

Energy of formation from the pure elements: 0.307 eV per atom
E above lowest polymorph: 104.9 meV/atom
Total moment: 4.10 μB per formula unit

Record 8
The following is a GGA-PBEsol calculation of a geometry-optimized Fe2WAu structure, from Alexandria via LeMat-Bulk.

Unit cell a=3.080 b=3.080 c=5.630 alpha=90.00 beta=90.00 gamma=90.00
Space group P4/mmm (No. 123)
Asymmetric unit:
Fe1 0.000 0.000 0.225
W1 0.500 0.500 0.000
Au1 0.500 0.500 0.500

Energy of formation from the pure elements: 0.202 eV per atom
E above lowest polymorph: 0.0 meV/atom
Total moment: 2.04 μB per formula unit